# LaTaN2O GGA-PBE relaxed
# **ρ**: 7.963 g/cm³
# **VASP energy**: -9.38 eV per atom
data_LaTaN2O
_chemical_formula_sum 'La8 Ta8 N16 O8'
_cell_length_a 11.500
_cell_length_b 6.239
_cell_length_c 8.722
_cell_angle_alpha 90.00
_cell_angle_beta 104.06
_cell_angle_gamma 90.00
_symmetry_space_group_name_H-M 'C 1 2/c 1'
_symmetry_Int_Tables_number 15
loop_
_symmetry_equiv_pos_as_xyz
'x,y,z'
'-x,-y,-z'
'-x,y,-z+1/2'
'x,-y,z+1/2'
'x+1/2,y+1/2,z'
'-x+1/2,-y+1/2,-z'
'-x+1/2,y+1/2,-z+1/2'
'x+1/2,-y+1/2,z+1/2'
loop_
_atom_site_label
_atom_site_fract_x
_atom_site_fract_y
_atom_site_fract_z
La1 0.072 0.244 0.459
Ta1 0.213 0.333 0.831
N1 0.136 0.163 0.973
N2 0.246 0.336 0.334
O1 0.074 0.444 0.665